1.
ReAgAs2: optimized geometry, PBE.

The structure belongs to space group Imm2 (No. 44); the cell edges are 3.064, 3.674 and 13.192 Å and the angles 90.00°, 90.00° and 90.00°. The asymmetric unit holds Re at (0.000, 0.000, 0.000), Ag at (0.000, 0.500, 0.727), As at (0.000, 0.000, 0.571) and As at (0.000, 0.500, 0.350).

The value obtained for the spin magnetization is 0.0 μB/cell. Its formation energy is 0.27 eV/atom. As for the polymorph energy (0 for the lowest one): 0.1193 eV/atom. The value obtained for the total energy is -47.036 eV/cell.

2.
CsNaICl: optimized geometry, PBE.

The structure belongs to space group P4/nmm (No. 129, origin choice 2); the cell edges are 5.845, 5.845 and 10.382 Å and the angles 90.00°, 90.00° and 90.00°. The asymmetric unit holds Cs at (0.250, 0.250, 0.181), Na at (0.250, 0.250, 0.610), I at (0.250, 0.750, 0.500) and Cl at (0.250, 0.250, 0.861).

The value obtained for the spin magnetization is 0.0 μB/cell. As for the polymorph energy (0 for the lowest one): 0.0000 eV/atom. The value obtained for the total energy is -23.613 eV/cell. The value obtained for the formation energy without anion corrections is -1559 meV/atom.

3.
Rb2SiAgSn: optimized geometry, PBE.

The structure belongs to space group P4/mmm (No. 123); the cell edges are 7.131, 7.131 and 5.051 Å and the angles 90.00°, 90.00° and 90.00°. The asymmetric unit holds Rb at (0.000, 0.500, 0.000), Si at (0.000, 0.000, 0.500), Ag at (0.500, 0.500, 0.500) and Sn at (0.000, 0.000, 0.000).

The value obtained for the spin magnetization is 0.0 μB/cell. The value obtained for the total energy is -12.177 eV/cell. The value obtained for the formation energy without anion corrections is 407 meV/atom.

4.
CaCu2W: optimized geometry, PBE.

The structure belongs to space group R3m (No. 160, hexagonal axes); the cell edges are 2.9253, 2.9253 and 27.1567 Å and the angles 90.00°, 90.00° and 120.00°. The asymmetric unit holds Ca at (0.0000, 0.0000, 0.0000), Cu at (0.0000, 0.0000, 0.2428), Cu at (0.0000, 0.0000, 0.5071) and W at (0.0000, 0.0000, 0.7637).

The value obtained for the spin magnetization is 0.0 μB/cell. Its formation energy is 0.66 eV/atom. As for the polymorph energy (0 for the lowest one): 0.2599 eV/atom. The value obtained for the total energy is -61.527 eV/cell.

What did the fourth record say?
CaCu2W: optimized geometry, PBE.

The structure belongs to space group R3m (No. 160, hexagonal axes); the cell edges are 2.9253, 2.9253 and 27.1567 Å and the angles 90.00°, 90.00° and 120.00°. The asymmetric unit holds Ca at (0.0000, 0.0000, 0.0000), Cu at (0.0000, 0.0000, 0.2428), Cu at (0.0000, 0.0000, 0.5071) and W at (0.0000, 0.0000, 0.7637).

The value obtained for the spin magnetization is 0.0 μB/cell. Its formation energy is 0.66 eV/atom. As for the polymorph energy (0 for the lowest one): 0.2599 eV/atom. The value obtained for the total energy is -61.527 eV/cell.

> What is the spin magnetization in the fourth record?

0.0 μB/cell